Compound: CeY10Er4
Source: the Alexandria database
Functional: PBE
Structure: optimized geometry

Computed properties:
As for the energy: -5.1618 eV per atom. The density of states at the Fermi level is 23.19 states/eV/f.u. For the formation energy, the calculation gives 0.76 eV per atom.

Cell: 12.1416 12.1416 7.6693 Å, 90.00 90.00 90.00°
Last column: nearest neighbours and their distance in Å.
Space group I4/m (No. 87)
Inequivalent atoms, fractional coordinates:
Ce (0.0000, 0.0000, 0.0000) [2 per cell]  8 Y 3.31
Y (0.0000, 0.5000, 0.2500) [4 per cell]  4 Er 3.32
Y (0.0997, 0.8013, 0.2489) [16 per cell]  1 Ce 3.31, 3 Er 3.33
Er (0.0999, 0.3006, 0.5000) [8 per cell]  8 Y 3.32-3.33

Compound: CeY2Er2
Source: the Alexandria database
Functional: PBE
Structure: optimized geometry

Computed properties:
As for the energy: -3.8658 eV per atom. The density of states at the Fermi level is 16.84 states/eV/f.u. For the formation energy, the calculation gives 1.73 eV per atom.

Cell: 5.7952 5.7952 16.8218 Å, 90.00 90.00 90.00°
Last column: nearest neighbours and their distance in Å.
Space group I4/mmm (No. 139)
Inequivalent atoms, fractional coordinates:
Ce (0.0000, 0.0000, 0.0000) [2 per cell]  2 Er 2.88
Y (0.0000, 0.5000, 0.2500) [4 per cell]  4 Er 3.18
Er (0.0000, 0.0000, 0.1715) [4 per cell]  1 Ce 2.88, 4 Y 3.18